# 1
A relaxed structure of MgSnAsPb2, computed with PBE.

a b c (Å): 5.5652 5.5652 4.9577
angles (deg): 90.00 90.00 90.00
Closest atoms and distances in Å follow each position.
Element x y z (fractional)
Mg 0.0000 0.0000 0.0000  2 As 2.48
Sn 0.5000 0.5000 0.5000  8 Pb 3.73, 4 As 3.94
As 0.0000 0.0000 0.5000  2 Mg 2.48
Pb 0.0000 0.5000 0.0000  2 Mg 2.78
Pb 0.5000 0.0000 0.0000  2 Mg 2.78



# 2
A relaxed structure of MgSnAsPb2, computed with PBE.

a b c (Å): 5.8125 5.8125 5.2096
angles (deg): 90.00 90.00 90.00
Closest atoms and distances in Å follow each position.
Element x y z (fractional)
Mg 0.0000 0.0000 0.0000  2 Sn 2.60
Sn 0.0000 0.0000 0.5000  2 Mg 2.60, 4 Pb 2.91
As 0.5000 0.5000 0.0000  8 Pb 3.90, 4 Mg 4.11
Pb 0.0000 0.5000 0.5000  2 Sn 2.91
Pb 0.5000 0.0000 0.5000  2 Sn 2.91



# 3
A relaxed structure of MgTl2AsPb, computed with PBE.

a b c (Å): 5.6144 5.6144 4.9393
angles (deg): 90.00 90.00 90.00
Closest atoms and distances in Å follow each position.
Element x y z (fractional)
Mg 0.0000 0.0000 0.0000  2 As 2.47
Tl 0.0000 0.5000 0.0000  2 Mg 2.81
Tl 0.5000 0.0000 0.0000  2 Mg 2.81
As 0.0000 0.0000 0.5000  2 Mg 2.47
Pb 0.5000 0.5000 0.5000  8 Tl 3.74, 4 As 3.97



# 4
A relaxed structure of MgAs2Pd5, computed with PBE.

a b c (Å): 7.3135 7.3135 8.8214
angles (deg): 105.37 105.37 34.72
Closest atoms and distances in Å follow each position.
Element x y z (fractional)
Mg 0.0000 0.5000 0.0000  8 Pd 2.67-2.95, 4 As 2.99
Mg 0.5000 0.0000 0.5000  8 Pd 2.67-2.95, 4 As 2.99
As 0.1493 0.6485 0.6135  6 Pd 2.48-2.70
As 0.3515 0.8507 0.8865  6 Pd 2.48-2.70
As 0.6485 0.1493 0.1135  6 Pd 2.48-2.70
As 0.8507 0.3515 0.3865  6 Pd 2.48-2.70
Pd 0.0305 0.5316 0.3450  2 As 2.48-2.64, 2 Mg 2.67-2.68, 2 Pd 2.74
Pd 0.1741 0.6719 0.9112  2 As 2.55-2.56, 1 Mg 2.74
Pd 0.2487 0.7513 0.2500  4 As 2.69-2.70, 6 Pd 2.88-2.97
Pd 0.3281 0.8259 0.5888  2 As 2.55-2.56, 1 Mg 2.74
Pd 0.4684 0.9695 0.1550  2 As 2.48-2.64, 2 Mg 2.67-2.68, 2 Pd 2.74
Pd 0.5316 0.0305 0.8450  2 As 2.48-2.64, 2 Mg 2.67-2.68, 2 Pd 2.74
Pd 0.6719 0.1741 0.4112  2 As 2.55-2.56, 1 Mg 2.74
Pd 0.7513 0.2487 0.7500  4 As 2.69-2.70, 6 Pd 2.88-2.97
Pd 0.8259 0.3281 0.0888  2 As 2.55-2.56, 1 Mg 2.74
Pd 0.9695 0.4684 0.6550  2 As 2.48-2.64, 2 Mg 2.67-2.68, 2 Pd 2.74



# 5
A relaxed structure of MgAs2Pd, computed with PBE.

a b c (Å): 8.2108 8.2108 8.2108
angles (deg): 26.10 26.10 26.10
Closest atoms and distances in Å follow each position.
Element x y z (fractional)
Mg 0.0000 0.0000 0.0000  2 As 2.63
As 0.1105 0.1105 0.1105  3 Pd 2.52, 1 Mg 2.63
As 0.8895 0.8895 0.8895  3 Pd 2.52, 1 Mg 2.63
Pd 0.5000 0.5000 0.5000  6 As 2.52



# 6
A relaxed structure of Mg5AsPd8, computed with PBE.

a b c (Å): 6.7769 6.7769 6.7769
angles (deg): 112.83 112.83 102.94
Closest atoms and distances in Å follow each position.
Element x y z (fractional)
Mg 0.0000 0.0000 0.0000  8 Pd 2.58-2.70
Mg 0.3033 0.1920 0.6273  7 Pd 2.66-2.90
Mg 0.3240 0.6967 0.8887  7 Pd 2.66-2.90
Mg 0.5647 0.6760 0.3727  7 Pd 2.66-2.90
Mg 0.8080 0.4353 0.1113  7 Pd 2.66-2.90
As 0.7500 0.2500 0.5000  4 Pd 2.41
Pd 0.0428 0.8113 0.5961  5 Mg 2.66-2.73, 3 Pd 2.87-2.96
Pd 0.0712 0.3081 0.8708  1 As 2.41, 1 Mg 2.58
Pd 0.1887 0.7848 0.2315  5 Mg 2.66-2.73, 3 Pd 2.87-2.96
Pd 0.2152 0.4467 0.4039  5 Mg 2.66-2.73, 3 Pd 2.87-2.96
Pd 0.4373 0.2003 0.1292  1 As 2.41, 1 Mg 2.58
Pd 0.5533 0.9572 0.7685  5 Mg 2.66-2.73, 3 Pd 2.87-2.96
Pd 0.6919 0.5627 0.7630  1 As 2.41, 1 Mg 2.58
Pd 0.7997 0.9288 0.2370  1 As 2.41, 1 Mg 2.58



| no. | ΔH_f (0 K) (eV per atom) |
| --- | --- |
| 1 | 0.417 |
| 2 | 0.608 |
| 3 | 0.271 |
| 4 | -0.401 |
| 5 | -0.056 |
| 6 | -0.490 |